(1)
Entry from Alexandria via LeMat-Bulk: a geometry-optimized Na2In2Fe structure (PBE).

The energy above the most stable polymorph in this dataset comes out at 0.000 eV per formula unit. The density is 4.24 g cm⁻³. The energy relative to the elements is 0.27 eV/atom. Its total magnetic moment is 4.76 μB/cell. The value obtained for the volume is 25.99 A^3/atom.

It has space group P4/mbm (No. 127), with a = 6.9911 Å, b = 6.9911 Å, c = 5.3166 Å, α = 90.00°, β = 90.00° and γ = 90.00°. The distinct sites, in fractional coordinates, are Na at (0.1694, 0.3306, 0.0000), In at (0.1615, 0.6615, 0.5000) and Fe at (0.0000, 0.0000, 0.5000).

=====

(2)
Entry from Alexandria via LeMat-Bulk: a geometry-optimized CdGa3Pt12 structure (PBE).

The density is 17.67 g cm⁻³. The energy relative to the elements is -0.38 eV/atom. Its total magnetic moment is 0.00 μB/cell. The value obtained for the volume is 15.64 A^3/atom.

It has space group P4/mmm (No. 123), with a = 3.9730 Å, b = 3.9730 Å, c = 15.8510 Å, α = 90.00°, β = 90.00° and γ = 90.00°. The distinct sites, in fractional coordinates, are Cd at (0.0000, 0.0000, 0.0000), Ga at (0.0000, 0.0000, 0.2517), Ga at (0.0000, 0.0000, 0.5000), Pt at (0.0000, 0.5000, 0.1320), Pt at (0.0000, 0.5000, 0.3766), Pt at (0.5000, 0.5000, 0.0000), Pt at (0.5000, 0.5000, 0.2545) and Pt at (0.5000, 0.5000, 0.5000).

=====

(3)
Entry from Alexandria via LeMat-Bulk: a geometry-optimized ErGaS2 structure (PBE).

As for the formation energy (no corrections): -5.47 eV/f.u. The density is 5.27 g cm⁻³. Its total magnetic moment is 0.00 μB/cell. The value obtained for the volume is 23.71 A^3/atom.

It has space group R-3m (No. 166, hexagonal axes), with a = 3.9395 Å, b = 3.9395 Å, c = 21.1660 Å, α = 90.00°, β = 90.00° and γ = 120.00°. The distinct sites, in fractional coordinates, are Er at (0.0000, 0.0000, 0.0000), Ga at (0.0000, 0.0000, 0.5000) and S at (0.0000, 0.0000, 0.2620).

=====

(4)
Entry from Alexandria via LeMat-Bulk: a geometry-optimized Sc2AsRu structure (PBE).

The density is 5.73 g cm⁻³. The energy relative to the elements is -0.33 eV/atom. Its total magnetic moment is 0.00 μB/cell. The value obtained for the volume is 19.25 A^3/atom.

It has space group I-42d (No. 122), with a = 7.1342 Å, b = 7.1342 Å, c = 6.0512 Å, α = 90.00°, β = 90.00° and γ = 90.00°. The distinct sites, in fractional coordinates, are Sc at (0.2289, 0.2500, 0.1250), As at (0.0000, 0.0000, 0.5000) and Ru at (0.0000, 0.0000, 0.0000).